Record 1
# PuMgZnCo, relaxed, DFT PBE
data_PuMgZnCo
_chemical_formula_sum 'Pu4 Mg4 Zn4 Co4'
_space_group_name_H-M_alt 'F -4 3 m'
_space_group_IT_number 216
_space_group_name_Hall 'F -4 2 3'
_cell_length_a 6.651
_cell_length_b 6.651
_cell_length_c 6.651
_cell_angle_alpha 90.00
_cell_angle_beta 90.00
_cell_angle_gamma 90.00
loop_
_atom_site_label
_atom_site_type_symbol
_atom_site_fract_x
_atom_site_fract_y
_atom_site_fract_z
_atom_site_occupancy
Pu1 Pu 0.000 0.000 0.000 1
Mg1 Mg 0.000 0.000 0.500 1
Zn1 Zn 0.250 0.250 0.250 1
Co1 Co 0.250 0.250 0.750 1
# E_tot in eV/f.u.: -24.00

Record 2
# U6AsSe5, relaxed, DFT PBE
data_U6AsSe5
_chemical_formula_sum 'U12 As2 Se10'
_space_group_name_H-M_alt 'C 1 2/m 1'
_space_group_IT_number 12
_space_group_name_Hall '-C 2y'
_cell_length_a 7.462
_cell_length_b 11.761
_cell_length_c 6.787
_cell_angle_alpha 90.00
_cell_angle_beta 107.67
_cell_angle_gamma 90.00
loop_
_atom_site_label
_atom_site_type_symbol
_atom_site_fract_x
_atom_site_fract_y
_atom_site_fract_z
_atom_site_occupancy
U1 U 0.249 0.000 0.250 1
U2 U 0.249 0.166 0.749 1
As1 As 0.000 0.000 0.500 1
Se1 Se 0.000 0.167 0.000 1
Se2 Se 0.000 0.333 0.500 1
Se3 Se 0.000 0.500 0.000 1
# E_tot in eV/f.u.: -101.35
# Formation energy from raw total energies in meV/atom: -963

Record 3
# SrIr2Rh, relaxed, DFT PBE
data_SrIr2Rh
_chemical_formula_sum 'Sr1 Ir2 Rh1'
_space_group_name_H-M_alt 'P 1 m 1'
_space_group_IT_number 6
_space_group_name_Hall 'P -2y'
_cell_length_a 2.852
_cell_length_b 4.402
_cell_length_c 6.060
_cell_angle_alpha 90.00
_cell_angle_beta 102.90
_cell_angle_gamma 90.00
loop_
_atom_site_label
_atom_site_type_symbol
_atom_site_fract_x
_atom_site_fract_y
_atom_site_fract_z
_atom_site_occupancy
Sr1 Sr 0.000 0.000 0.000 1
Ir1 Ir 0.263 0.000 0.495 1
Ir2 Ir 0.702 0.500 0.373 1
Rh1 Rh 0.382 0.500 0.750 1
# Polymorph energy (0 for the lowest one) in eV/atom: 0.000
# E_tot in eV/f.u.: -25.99

DOS(E_F) / states/eV per cell: 43.00 45.21 4.08